Here is crystalline La4Dy3Y4 at its relaxed geometry from Alexandria via LeMat-Bulk. Energies are from PBE-GGA.

Output
ΔE to the lowest computed polymorph in meV per atom: 22
Density of states at the Fermi level in states/eV per cell: 17.97
Energy of formation in eV per atom: 0.146

POSCAR file:
```
La4Dy3Y4
1.0
5.767 0.000 0.000
-2.884 6.042 0.000
0.000 0.000 10.777
Dy Y La
3 4 4
direct
0.409 0.819 0.712 Dy
0.253 0.506 0.000 Dy
0.409 0.819 0.288 Dy
0.603 0.207 0.500 Y
0.104 0.207 0.303 Y
0.552 0.103 0.000 Y
0.104 0.207 0.697 Y
0.957 0.915 0.000 La
0.766 0.531 0.796 La
0.766 0.531 0.204 La
0.876 0.752 0.500 La
```